Ta2SbCl, optimized geometry, DFT PBE-GGA; formation energy (no corrections) = 161 kJ/mol of formula units; SG = Cmmm; polymorph energy (0 for the lowest one) = 0.630 eV/atom
1.0
-1.1433 -2.8329 1.0302
3.0663 0.9659 0.2410
-1.8441 3.7749 8.3339
Cl Sb Ta
1 1 2
Cartesian
0.5005 0.0102 2.7191
-0.4216 1.8977 6.8860
-0.0196 0.0401 0.0886
-0.9024 1.8473 4.0783


Tb3Si2Te3, optimized geometry, DFT PBE-GGA; formation energy (no corrections) = -589 kJ/mol of formula units; SG = P6_3/mcm
1.0
5.9050 0.0000 0.0000
0.0000 9.0075 0.0000
0.0000 -4.5038 7.8008
Tb Si Te
6 4 6
Cartesian
4.4287 5.4705 0.0000
4.4287 1.7685 3.0631
4.4287 -2.7353 4.7376
1.4762 3.5370 0.0000
1.4762 2.7353 4.7376
1.4762 -1.7685 3.0631
0.0000 0.0000 5.2005
2.9525 4.5038 2.6002
0.0000 4.5038 2.6002
2.9525 0.0000 5.2005
4.4287 2.3712 0.0000
4.4287 3.3182 5.7472
4.4287 -1.1856 2.0535
1.4762 6.6363 0.0000
1.4762 1.1856 2.0535
1.4762 -3.3182 5.7472


Pr2GeIr, optimized geometry, DFT PBE-GGA; SG = P4/mmm; energy = -25.2 eV per cell
1.0
-1.7184 -1.4390 2.7261
3.0826 -0.8143 1.5132
0.0268 6.9571 3.6891
Pr Ge Ir
2 1 1
Cartesian
0.0207 5.3691 2.8471
0.0061 1.5880 0.8421
0.6955 2.3519 3.9643
0.6821 -1.1266 2.1197


K3SrZr, optimized geometry, DFT PBE-GGA; SG = Pm-3m; polymorph energy (0 for the lowest one) = 0.000 eV/atom
1.0
-5.1596 4.2419 1.3753
-4.4546 -4.9989 -1.2935
0.2035 -1.8770 6.5530
Sr K Zr
1 3 1
Cartesian
-4.7053 -1.3171 3.3174
-2.2273 -2.4995 -0.6468
0.1018 -0.9385 3.2765
-2.5798 2.1209 0.6876
0.0000 0.0000 0.0000


SnRuF2, optimized geometry, DFT PBE-GGA; formation energy (no corrections) = -254 kJ/mol of formula units; SG = R-3m; polymorph energy (0 for the lowest one) = 0.183 eV/atom
1.0
-3.2804 1.0582 7.4804
-0.2997 0.6338 8.2064
-1.3050 3.4408 7.3685
Ru Sn F
1 1 2
Cartesian
-2.4425 2.5664 11.5276
0.0000 0.0000 0.0000
-4.4139 4.6377 20.8315
-0.4712 0.4951 2.2238


CuAu, optimized geometry, DFT PBE-GGA; SG = I4_1/amd; energy = -14.9 eV per cell
1.0
-0.3721 4.2423 2.4457
-2.6513 3.3432 -2.4310
-0.7532 -4.6978 1.2164
Au Cu
2 2
Cartesian
-1.9850 2.5062 -0.2982
-1.7916 0.3815 1.5292
-0.8451 2.9551 2.1402
-2.9314 -0.0675 -0.9092


Cs3Pr2YO6, optimized geometry, DFT PBE-GGA; formation energy (no corrections) = -2915 kJ/mol of formula units; SG = C2/m
1.0
6.3765 -0.0015 0.0014
-3.1880 5.5223 0.0014
-1.0619 -1.8387 6.9417
Cs Pr Y O
3 2 1 6
Cartesian
-2.1342 3.6877 3.4723
4.2608 -0.0056 3.4723
1.0633 1.8410 3.4723
0.0002 3.6810 0.0014
3.1883 1.8398 0.0014
0.0000 0.0000 0.0000
3.1523 1.9042 5.7736
2.1615 3.7426 1.1768
-1.0258 1.7779 1.1710
0.0739 3.6820 5.7736
-0.0349 -0.0605 5.7678
2.0526 0.0000 1.1710


Co2ReHg, optimized geometry, DFT PBE-GGA; SG = I-42d; energy = -46.8 eV per cell
1.0
6.7839 0.0000 0.0000
0.0000 6.7839 0.0000
3.3919 3.3919 2.7409
Re Co Hg
2 4 2
Cartesian
3.3919 3.3919 0.0000
3.3919 6.7839 1.3704
4.7836 1.6960 0.6852
2.0003 5.0879 0.6852
5.0879 5.3922 2.0556
8.4798 8.1755 2.0556
0.0000 0.0000 0.0000
6.7839 3.3919 1.3704


TbPm4Y6, optimized geometry, DFT PBE-GGA; SG = P-6m2; polymorph energy (0 for the lowest one) = 0.048 eV/atom
1.0
3.5965 0.0000 0.0000
0.0000 10.9715 0.0000
0.0000 -5.4858 9.5016
Tb Pm Y
1 4 6
Cartesian
0.0000 0.0000 0.0000
1.7983 5.4858 6.4773
1.7983 2.6192 1.5122
1.7983 8.3524 1.5122
0.0000 0.0000 6.3344
0.0000 5.4858 0.4151
1.7983 2.4614 7.7555
0.0000 3.1023 4.5433
0.0000 7.8692 4.5433
1.7983 -2.4614 7.7555
1.7983 0.0000 3.4923


PrErNpO6, optimized geometry, DFT PBE-GGA; formation energy (no corrections) = -2778 kJ/mol of formula units; SG = P-31c
1.0
-3.9723 3.1295 2.7483
-1.3393 -5.2217 -2.0165
2.7739 -4.0334 8.6021
Pr Er Np O
2 2 2 12
Cartesian
0.0000 0.0000 0.0000
1.3870 -2.0167 4.3010
-1.5235 -3.4463 1.7223
-1.0142 -2.6793 7.6116
-2.4012 -0.6626 3.3106
-0.1365 -5.4630 6.0233
-3.0779 -1.8166 1.7158
-3.9590 0.7124 3.1858
-0.9001 -6.6074 4.4611
1.4213 -6.8380 6.1481
-0.9055 -2.1060 3.4234
-3.7309 -1.7150 4.5178
-1.4416 -6.5935 7.1860
-1.6376 0.4818 4.8728
1.1932 -4.4106 4.8161
-1.0961 0.4679 2.1479
-1.6322 -4.0196 5.9106
0.5402 -4.3090 7.6181


Dy8Ga2Os, optimized geometry, DFT PBE-GGA; SG = C2/m; polymorph energy (0 for the lowest one) = 0.000 eV/atom
1.0
-4.9843 -0.3716 -0.5924
-0.7356 -0.7009 6.6296
2.0030 8.9392 -1.0794
Dy Ga Os
8 2 1
Cartesian
-0.8152 6.7837 2.6031
-3.3491 1.8508 5.6370
-3.2926 4.5081 3.4936
-3.1168 8.0001 -0.1764
-0.4244 3.3586 1.4642
-0.3679 6.0160 -0.6791
-2.9018 1.0830 2.3547
-0.6002 -0.1333 5.1342
-2.9933 5.0643 0.6270
-0.7237 2.8024 4.3309
-2.4922 -0.1858 -0.2962


POsBr2, optimized geometry, DFT PBE-GGA; formation energy (no corrections) = 71 kJ/mol of formula units; SG = P2/m; polymorph energy (0 for the lowest one) = 0.246 eV/atom
1.0
3.8328 0.0000 0.0000
0.0000 7.3011 0.1559
0.0000 5.8322 4.3873
Br Os P
2 1 1
Cartesian
0.0000 1.6508 0.5703
0.0000 4.9159 1.7013
1.9164 3.2833 1.1358
1.9164 9.8500 3.4073


CsSrHg3, optimized geometry, DFT PBE-GGA; SG = Pm-3m; polymorph energy (0 for the lowest one) = 0.502 eV/atom
1.0
6.4992 0.0000 0.0000
0.0000 6.4992 0.0000
0.0000 0.0000 6.4992
Cs Sr Hg
1 1 3
Cartesian
0.0000 0.0000 0.0000
3.2496 3.2496 3.2496
0.0000 3.2496 0.0000
0.0000 0.0000 3.2496
3.2496 0.0000 0.0000


KNaCuCl4, optimized geometry, DFT PBE-GGA; formation energy (no corrections) = -843 kJ/mol of formula units; SG = P2_1/m
1.0
-5.1046 2.8286 -3.7180
1.7274 -3.8580 -5.3067
-3.2226 -6.7688 3.8719
K Na Cu Cl
2 2 2 8
Cartesian
-5.4861 -7.1541 -3.0901
-1.1137 -0.6441 -2.0627
-4.0645 -3.7100 -5.1312
-2.5353 -4.0883 -0.0216
-0.9091 -4.4286 -3.5817
-5.6907 -3.3697 -1.5711
-6.5947 -4.0375 -3.5293
0.8510 -5.6728 -4.2536
-0.0051 -3.7608 -1.6235
-7.4508 -2.1254 -0.8992
-1.3785 -2.6916 -4.9973
-5.2213 -5.1066 -0.1556
-2.8518 -5.5438 -3.4033
-3.7480 -2.2544 -1.7495


SbPt2Se3, optimized geometry, DFT PBE-GGA; formation energy (no corrections) = -208 kJ/mol of formula units; SG = P-3m1
1.0
5.0296 0.0000 0.0000
0.0000 6.7247 -3.8825
0.0000 0.0000 7.7650
Sb Pt Se
2 4 6
Cartesian
1.5966 2.2416 3.8825
3.4329 4.4831 0.0000
0.0000 0.0000 0.0000
0.0000 3.3624 -1.9413
0.0000 0.0000 3.8825
0.0000 3.3624 1.9413
3.8108 1.1576 5.7600
3.8108 4.4095 3.8825
3.8108 1.1576 2.0050
1.2187 5.5671 1.8775
1.2187 5.5671 -1.8775
1.2187 2.3152 0.0000


Zn2CoHgC, optimized geometry, DFT PBE-GGA; SG = P4/mmm; energy = -16.5 eV per cell
1.0
-0.6996 -0.2141 -4.7420
3.4763 -3.2870 -0.3645
-2.4105 -2.6018 0.4731
C Zn Co Hg
1 2 1 1
Cartesian
-1.2053 -1.3009 0.2365
1.7382 -1.6435 -0.1822
-0.3498 -0.1070 -2.3710
0.0000 0.0000 0.0000
0.1831 -3.0514 -2.3167


MnTePd, optimized geometry, DFT PBE-GGA; formation energy (no corrections) = -5 kJ/mol of formula units; SG = P3m1
1.0
-2.1706 2.5916 -2.3519
-3.3429 -2.2732 0.5803
0.8634 3.0548 2.5693
Mn Te Pd
1 1 1
Cartesian
-0.0412 0.0492 -0.0446
-1.9916 3.0136 0.3320
-2.6173 0.3105 0.5103


Pr6AuS2Cl3, optimized geometry, DFT PBE-GGA; formation energy (no corrections) = -1746 kJ/mol of formula units; SG = C2/m
1.0
7.1018 -0.0065 0.0075
-3.5548 6.1481 0.0075
-1.1758 -2.0358 7.2094
Pr Au S Cl
6 1 2 3
Cartesian
3.6167 1.9540 5.5811
2.3056 3.9921 1.6159
-1.2454 2.1518 1.6432
-0.1149 4.1092 5.5811
0.0657 0.1137 5.6085
2.4862 -0.0034 1.6432
0.0000 0.0000 0.0000
-0.0155 4.1041 0.0075
3.5626 2.0376 0.0075
-2.4683 4.1632 3.6122
4.8396 -0.0574 3.6122
1.1856 2.0529 3.6122


Ba4GeSeCl2, optimized geometry, DFT PBE-GGA; formation energy (no corrections) = -1260 kJ/mol of formula units; SG = P2/m
1.0
4.7698 0.0000 0.0000
0.0001 8.1553 -0.1106
0.0000 2.9209 7.7533
Ba Ge Se Cl
4 1 1 2
Cartesian
0.0001 8.1281 5.7089
4.7698 2.9481 1.9338
2.3850 6.7471 1.9429
2.3849 4.3292 5.6999
0.0000 5.5381 3.8214
2.3850 6.9986 7.6980
0.0000 2.9209 7.7533
2.3849 1.4604 3.8766


CaPm2Cu3Ge4, optimized geometry, DFT PBE-GGA; SG = P-4m2; energy = -46.7 eV per cell
1.0
4.2759 0.0000 0.0000
0.0000 4.2759 0.0000
0.0000 0.0000 10.9990
Ca Pm Cu Ge
1 2 3 4
Cartesian
2.1380 2.1380 5.4995
2.1380 0.0000 2.4521
0.0000 2.1380 8.5468
0.0000 0.0000 5.4995
2.1380 0.0000 9.7186
0.0000 2.1380 1.2803
2.1380 2.1380 0.0000
0.0000 0.0000 0.0000
2.1380 0.0000 7.3277
0.0000 2.1380 3.6713


MgAu2Br, optimized geometry, DFT PBE-GGA; formation energy (no corrections) = -203 kJ/mol of formula units; SG = Pm; polymorph energy (0 for the lowest one) = 0.000 eV/atom
1.0
3.7049 0.0000 0.0000
0.0000 4.1123 0.1908
0.0000 -0.5321 6.9894
Au Br Mg
2 1 1
Cartesian
0.0000 3.0874 0.7494
1.8525 1.0378 0.5157
0.0000 2.7072 3.9642
1.8525 2.6503 5.7320


LaZr3Cr, optimized geometry, DFT PBE-GGA; SG = Pm-3m; polymorph energy (0 for the lowest one) = 0.000 eV/atom
1.0
5.0232 0.0000 0.0000
0.0000 5.0232 0.0000
0.0000 0.0000 5.0232
Cr Zr La
1 3 1
Cartesian
0.0000 0.0000 0.0000
0.0000 2.5116 0.0000
0.0000 0.0000 2.5116
2.5116 0.0000 0.0000
2.5116 2.5116 2.5116


ScTaGa2, optimized geometry, DFT PBE-GGA; SG = P4/mmm; polymorph energy (0 for the lowest one) = 0.003 eV/atom
1.0
-0.7939 1.5541 -2.9985
0.9414 -2.8563 -1.7297
-5.5010 -2.0513 0.3934
Sc Ga Ta
1 2 1
Cartesian
-2.6768 -1.6768 -2.1674
-4.2433 -1.5823 0.3034
-1.2577 -0.4690 0.0899
0.0737 -0.6511 -2.3641


LiHo2V, optimized geometry, DFT PBE-GGA; SG = R-3m; polymorph energy (0 for the lowest one) = 0.452 eV/atom
1.0
-3.0448 -0.2497 1.0244
-1.4542 -2.8750 0.0444
2.1374 -2.7204 10.7573
Li Ho V
1 2 1
Cartesian
-1.1808 -2.9226 5.9131
1.2270 -2.3002 8.1537
-3.5885 -3.5450 3.6725
0.0000 0.0000 0.0000


LiMgSc2Hg4, optimized geometry, DFT PBE-GGA; SG = R-3m; energy = -20.6 eV per cell
1.0
-3.3950 3.4966 -0.0142
-4.6805 -1.1450 0.7312
-1.7070 1.7721 8.0908
Li Mg Sc Hg
1 1 2 4
Cartesian
-4.8913 2.0619 4.4039
0.0000 0.0000 0.0000
-7.3345 3.0952 6.6250
-2.4481 1.0285 2.1827
-4.5319 2.4225 7.2692
-7.6988 2.7297 3.7207
-2.0837 1.3940 5.0870
-5.2507 1.7013 1.5386